a.
Computed, not measured: a relaxed structure of Y2BPt at the PBE level of DFT.

Output
D(E_F)   3.4 states/eV/f.u.
Volume   79 Å³/cell

Unit cell a=4.823 b=4.823 c=4.823 alpha=60.00 beta=60.00 gamma=60.00
Atoms (fractional coordinates):
Y (0.250, 0.250, 0.250)
Y (0.750, 0.750, 0.750)
B (0.000, 0.000, 0.000)
Pt (0.500, 0.500, 0.500)

=====

b.
Computed, not measured: a relaxed structure of Y2BPt at the PBE level of DFT.

Output
D(E_F)   3.0 states/eV/f.u.
Volume   220 Å³/cell

Unit cell a=5.726 b=5.726 c=7.839 alpha=68.58 beta=68.58 gamma=90.00
Each line ends with the local moment (μB).
Atoms (fractional coordinates):
Y (0.583, 0.125, 0.250)  0.07
Y (0.167, 0.625, 0.250)  0.06
Y (0.375, 0.417, 0.750)  0.07
Y (0.875, 0.833, 0.750)  0.07
B (0.500, 0.500, 0.000)  0.18
B (0.250, 0.750, 0.500)  0.17
Pt (0.000, 0.000, 0.000)  0.03
Pt (0.750, 0.250, 0.500)  0.03

=====

Of them, a has the highest stability.

=====

a.
Computed, not measured: a relaxed structure of YB2Pt at the PBE level of DFT.

Output
D(E_F)   3.2 states/eV/f.u.
Volume   53 Å³/cell

Unit cell a=4.227 b=4.227 c=4.227 alpha=60.00 beta=60.00 gamma=60.00
Atoms (fractional coordinates):
Y (0.000, 0.000, 0.000)
B (0.250, 0.250, 0.250)
B (0.750, 0.750, 0.750)
Pt (0.500, 0.500, 0.500)

=====

b.
Computed, not measured: a relaxed structure of YB2Pt at the PBE level of DFT.

Output
D(E_F)   2.1 states/eV/f.u.
Volume   124 Å³/cell

Unit cell a=4.151 b=4.151 c=7.785 alpha=74.54 beta=74.54 gamma=90.00
Atoms (fractional coordinates):
Y (0.500, 0.500, 0.000)
Y (0.250, 0.750, 0.500)
B (0.875, 0.125, 0.250)
B (0.875, 0.625, 0.250)
B (0.375, 0.125, 0.750)
B (0.875, 0.125, 0.750)
Pt (0.000, 0.000, 0.000)
Pt (0.750, 0.250, 0.500)

=====

Of them, b has the highest stability.

=====

a.
Computed, not measured: a relaxed structure of ZnB3Pt at the PBE level of DFT.

Output
D(E_F)   2.4 states/eV/f.u.
Volume   62 Å³/cell

Unit cell a=3.949 b=3.949 c=3.949 alpha=90.00 beta=90.00 gamma=90.00
Atoms (fractional coordinates):
Zn (0.000, 0.000, 0.000)
B (0.000, 0.500, 0.000)
B (0.000, 0.000, 0.500)
B (0.500, 0.000, 0.000)
Pt (0.500, 0.500, 0.500)

=====

b.
Computed, not measured: a relaxed structure of ZnB3Pt at the PBE level of DFT.

Output
D(E_F)   4.4 states/eV/f.u.
Volume   73 Å³/cell

Unit cell a=4.177 b=4.177 c=4.177 alpha=90.00 beta=90.00 gamma=90.00
Atoms (fractional coordinates):
Zn (0.500, 0.500, 0.500)
B (0.000, 0.500, 0.000)
B (0.000, 0.000, 0.500)
B (0.500, 0.000, 0.000)
Pt (0.000, 0.000, 0.000)

=====

Of them, b has the highest stability.

=====

a.
Computed, not measured: a relaxed structure of ZrB3Pt at the PBE level of DFT.

Output
D(E_F)   3.1 states/eV/f.u.
Volume   69 Å³/cell

Unit cell a=4.095 b=4.095 c=4.095 alpha=90.00 beta=90.00 gamma=90.00
Atoms (fractional coordinates):
B (0.000, 0.500, 0.000)
B (0.000, 0.000, 0.500)
B (0.500, 0.000, 0.000)
Zr (0.500, 0.500, 0.500)
Pt (0.000, 0.000, 0.000)

=====

b.
Computed, not measured: a relaxed structure of ZrB3Pt at the PBE level of DFT.

Output
D(E_F)   2.0 states/eV/f.u.
Volume   79 Å³/cell

Unit cell a=4.286 b=4.286 c=4.286 alpha=90.00 beta=90.00 gamma=90.00
Atoms (fractional coordinates):
B (0.000, 0.500, 0.000)
B (0.000, 0.000, 0.500)
B (0.500, 0.000, 0.000)
Zr (0.000, 0.000, 0.000)
Pt (0.500, 0.500, 0.500)

=====

Of them, a has the highest stability.

=====

a.
Computed, not measured: a relaxed structure of PuB2 at the PBE level of DFT.

Output
D(E_F)   3.6 states/eV/f.u.
Volume   30 Å³/cell

Unit cell a=2.538 b=2.538 c=5.020 alpha=104.64 beta=104.64 gamma=90.00
Atoms (fractional coordinates):
B (0.715, 0.715, 0.429)
B (0.285, 0.285, 0.571)
Pu (0.000, 0.000, 0.000)

=====

b.
Computed, not measured: a relaxed structure of PuB2 at the PBE level of DFT.

Output
D(E_F)   6.0 states/eV/f.u.
Volume   35 Å³/cell

Unit cell a=3.163 b=3.163 c=3.991 alpha=90.00 beta=90.00 gamma=120.00
Each line ends with the local moment (μB).
Atoms (fractional coordinates):
B (0.333, 0.667, 0.500)  -0.08
B (0.667, 0.333, 0.500)  -0.08
Pu (0.000, 0.000, 0.000)  4.25

=====

Of them, b has the highest stability.

=====

a.
Computed, not measured: a relaxed structure of PuReB4 at the PBE level of DFT.

Output
D(E_F)   8.3 states/eV/f.u.
Volume   249 Å³/cell

Unit cell a=3.591 b=5.989 c=11.595 alpha=90.00 beta=90.00 gamma=90.00
Each line ends with the local moment (μB).
Atoms (fractional coordinates):
Pu (0.000, 0.626, 0.350)  4.59
Pu (0.000, 0.374, 0.650)  4.59
Pu (0.000, 0.126, 0.150)  4.59
Pu (0.000, 0.874, 0.850)  4.59
Re (0.000, 0.635, 0.090)  -0.21
Re (0.000, 0.365, 0.910)  -0.21
Re (0.000, 0.135, 0.410)  -0.21
Re (0.000, 0.865, 0.590)  -0.21
B (0.500, 0.788, 0.186)  -0.02
B (0.500, 0.212, 0.814)  -0.02
B (0.500, 0.288, 0.314)  -0.02
B (0.500, 0.712, 0.686)  -0.02
B (0.500, 0.865, 0.032)  -0.03
B (0.500, 0.135, 0.968)  -0.03
B (0.500, 0.365, 0.468)  -0.03
B (0.500, 0.635, 0.532)  -0.03
B (0.500, 0.886, 0.453)  -0.02
B (0.500, 0.114, 0.547)  -0.02
B (0.500, 0.386, 0.047)  -0.02
B (0.500, 0.614, 0.953)  -0.02
B (0.500, 0.975, 0.308)  -0.03
B (0.500, 0.025, 0.692)  -0.03
B (0.500, 0.475, 0.192)  -0.03
B (0.500, 0.525, 0.808)  -0.03

=====

b.
Computed, not measured: a relaxed structure of PuReB4 at the PBE level of DFT.

Output
D(E_F)   5.1 states/eV/f.u.
Volume   60 Å³/cell

Unit cell a=3.134 b=4.717 c=4.717 alpha=70.97 beta=70.60 gamma=70.60
Each line ends with the local moment (μB).
Atoms (fractional coordinates):
Pu (0.000, 0.000, 0.000)  4.54
Re (0.500, 0.500, 0.500)  0.06
B (0.246, 0.420, 0.088)  -0.01
B (0.246, 0.088, 0.420)  -0.01
B (0.754, 0.580, 0.912)  -0.01
B (0.754, 0.912, 0.580)  -0.01

=====

Of them, a has the highest stability.

=====

a.
Computed, not measured: a relaxed structure of PuB4Rh4 at the PBE level of DFT.

Output
D(E_F)   12.5 states/eV/f.u.
Volume   228 Å³/cell

Unit cell a=4.019 b=7.539 c=7.539 alpha=90.00 beta=90.00 gamma=90.00
Each line ends with the local moment (μB).
Atoms (fractional coordinates):
Pu (0.000, 0.000, 0.000)  5.11
Pu (0.500, 0.500, 0.500)  5.11
B (0.611, 0.839, 0.287)  -0.01
B (0.611, 0.161, 0.713)  -0.01
B (0.111, 0.787, 0.661)  -0.01
B (0.889, 0.339, 0.787)  -0.01
B (0.889, 0.661, 0.213)  -0.01
B (0.389, 0.287, 0.161)  -0.01
B (0.389, 0.713, 0.839)  -0.01
B (0.111, 0.213, 0.339)  -0.01
Rh (0.389, 0.345, 0.887)  -0.04
Rh (0.889, 0.613, 0.845)  -0.04
Rh (0.389, 0.655, 0.113)  -0.04
Rh (0.111, 0.155, 0.613)  -0.04
Rh (0.611, 0.887, 0.655)  -0.04
Rh (0.111, 0.845, 0.387)  -0.04
Rh (0.889, 0.387, 0.155)  -0.04
Rh (0.611, 0.113, 0.345)  -0.04

=====

b.
Computed, not measured: a relaxed structure of PuB4Rh4 at the PBE level of DFT.

Output
D(E_F)   16.2 states/eV/f.u.
Volume   215 Å³/cell

Unit cell a=5.344 b=5.344 c=7.529 alpha=90.00 beta=90.00 gamma=90.00
Each line ends with the local moment (μB).
Atoms (fractional coordinates):
Pu (0.000, 0.000, 0.000)  4.90
Pu (0.500, 0.500, 0.500)  4.90
B (0.500, 0.832, 0.852)  -0.01
B (0.500, 0.168, 0.852)  -0.01
B (0.832, 0.500, 0.148)  -0.01
B (0.168, 0.500, 0.148)  -0.01
B (0.332, 0.000, 0.352)  -0.01
B (0.668, 0.000, 0.352)  -0.01
B (0.000, 0.332, 0.648)  -0.01
B (0.000, 0.668, 0.648)  -0.01
Rh (0.250, 0.500, 0.854)  -0.02
Rh (0.750, 0.500, 0.854)  -0.02
Rh (0.500, 0.750, 0.146)  -0.02
Rh (0.500, 0.250, 0.146)  -0.02
Rh (0.000, 0.750, 0.354)  -0.02
Rh (0.000, 0.250, 0.354)  -0.02
Rh (0.250, 0.000, 0.646)  -0.02
Rh (0.750, 0.000, 0.646)  -0.02

=====

Of them, a has the highest stability.